VASP calculation (PBE) on an optimized crystal structure of YTm6Sc8.

Structure (POSCAR):
```
YTm6Sc8
1.0
9.1441 0.0000 0.0000
-4.5720 7.9190 0.0000
0.0000 0.0000 5.7072
Y Tm Sc
1 6 8
Direct
0.0000 0.0000 0.0000 Y
0.0919 0.4569 0.7894 Tm
0.3650 0.9081 0.7894 Tm
0.4569 0.3650 0.2106 Tm
0.5431 0.6350 0.7894 Tm
0.6350 0.0919 0.2106 Tm
0.9081 0.5431 0.2106 Tm
0.0495 0.2765 0.3078 Sc
0.2270 0.9505 0.3078 Sc
0.2765 0.2270 0.6922 Sc
0.3333 0.6667 0.2992 Sc
0.6667 0.3333 0.7008 Sc
0.7235 0.7730 0.3078 Sc
0.7730 0.0495 0.6922 Sc
0.9505 0.7235 0.6922 Sc
```

Properties
energy of formation from the pure elements	182	meV per atom
Fermi-level density of states	25.66	states/eV/cell
M_tot	0.000	μB/atom



VASP calculation (PBE) on an optimized crystal structure of Y4Tm7Sc.

Structure (POSCAR):
```
Y4Tm7Sc
1.0
9.2278 -3.4518 0.0000
9.2278 3.4518 0.0000
-0.1154 0.0000 5.8337
Y Tm Sc
4 7 1
Direct
0.0923 0.6366 0.7583 Y
0.3634 0.9077 0.2417 Y
0.6366 0.0923 0.7583 Y
0.9077 0.3634 0.2417 Y
0.0404 0.0404 0.7516 Tm
0.2150 0.2150 0.7436 Tm
0.3142 0.3142 0.2502 Tm
0.5000 0.5000 0.5000 Tm
0.6858 0.6858 0.7498 Tm
0.7850 0.7850 0.2564 Tm
0.9596 0.9596 0.2484 Tm
0.5000 0.5000 0.0000 Sc
```

Properties
energy of formation from the pure elements	154	meV per atom
distance to the lowest polymorph of the same formula	0.000	eV per formula unit
Fermi-level density of states	22.65	states/eV/cell
M_tot	0.000	μB/atom



VASP calculation (PBE) on an optimized crystal structure of YTm8Sc6.

Structure (POSCAR):
```
YTm8Sc6
1.0
4.1876 2.4177 7.0493
-4.1876 2.4177 7.0493
0.0000 -4.8355 7.0493
Y Tm Sc
1 8 6
Direct
0.0000 0.0000 0.0000 Y
0.1203 0.8111 0.6619 Tm
0.1889 0.3381 0.8797 Tm
0.3381 0.8797 0.1889 Tm
0.4168 0.4168 0.4168 Tm
0.5832 0.5832 0.5832 Tm
0.6619 0.1203 0.8111 Tm
0.8111 0.6619 0.1203 Tm
0.8797 0.1889 0.3381 Tm
0.0692 0.2810 0.5183 Sc
0.2810 0.5183 0.0692 Sc
0.4817 0.9308 0.7190 Sc
0.5183 0.0692 0.2810 Sc
0.7190 0.4817 0.9308 Sc
0.9308 0.7190 0.4817 Sc
```

Properties
energy of formation from the pure elements	184	meV per atom
distance to the lowest polymorph of the same formula	0.000	eV per formula unit
Fermi-level density of states	35.15	states/eV/cell
M_tot	0.148	μB/atom



VASP calculation (PBE) on an optimized crystal structure of YTm2Sc6.

Structure (POSCAR):
```
YTm2Sc6
1.0
3.3879 0.0000 0.0000
-1.6939 2.9340 0.0000
0.0000 0.0000 24.3130
Y Tm Sc
1 2 6
Direct
0.0000 0.0000 0.0000 Y
0.3333 0.6667 0.3282 Tm
0.3333 0.6667 0.6718 Tm
0.0000 0.0000 0.2171 Sc
0.0000 0.0000 0.4378 Sc
0.0000 0.0000 0.5622 Sc
0.0000 0.0000 0.7829 Sc
0.3333 0.6667 0.1137 Sc
0.3333 0.6667 0.8863 Sc
```

Properties
energy of formation from the pure elements	71	meV per atom
distance to the lowest polymorph of the same formula	0.062	eV per formula unit
Fermi-level density of states	15.49	states/eV/cell
M_tot	0.157	μB/atom



VASP calculation (PBE) on an optimized crystal structure of Y5Tm6Sc.

Structure (POSCAR):
```
Y5Tm6Sc
1.0
5.5332 -7.4595 0.0000
5.5332 7.4595 0.0000
-2.2078 0.0000 4.4280
Y Tm Sc
5 6 1
Direct
0.0000 0.0000 0.0000 Y
0.1659 0.8341 0.5000 Y
0.3359 0.6641 0.0000 Y
0.6641 0.3359 0.0000 Y
0.8341 0.1659 0.5000 Y
0.0867 0.4178 0.2522 Tm
0.2543 0.2543 0.7542 Tm
0.4178 0.0867 0.2522 Tm
0.5822 0.9133 0.7478 Tm
0.7457 0.7457 0.2458 Tm
0.9133 0.5822 0.7478 Tm
0.5000 0.5000 0.5000 Sc
```

Properties
energy of formation from the pure elements	37	meV per atom
Fermi-level density of states	17.68	states/eV/cell
M_tot	0.000	μB/atom



VASP calculation (PBE) on an optimized crystal structure of YTm4Sc5.

Structure (POSCAR):
```
YTm4Sc5
1.0
7.2988 -2.6507 0.0000
7.2988 2.6507 0.0000
-6.1186 0.0000 7.4907
Y Tm Sc
1 4 5
Direct
0.0000 0.0000 0.0000 Y
0.2463 0.2463 0.8657 Tm
0.2539 0.2539 0.3759 Tm
0.7461 0.7461 0.6241 Tm
0.7537 0.7537 0.1343 Tm
0.0528 0.0528 0.4024 Sc
0.4505 0.4505 0.7899 Sc
0.5000 0.5000 0.5000 Sc
0.5495 0.5495 0.2101 Sc
0.9472 0.9472 0.5976 Sc
```

Properties
energy of formation from the pure elements	265	meV per atom
distance to the lowest polymorph of the same formula	0.000	eV per formula unit
Fermi-level density of states	20.29	states/eV/cell
M_tot	0.000	μB/atom



VASP calculation (PBE) on an optimized crystal structure of Y2Tm2Sc.

Structure (POSCAR):
```
Y2Tm2Sc
1.0
5.4961 -2.4626 0.0000
5.4961 2.4626 0.0000
-0.0056 0.0000 10.9874
Y Tm Sc
4 4 2
Direct
0.0497 0.0497 0.3489 Y
0.1514 0.1514 0.0495 Y
0.8486 0.8486 0.9505 Y
0.9503 0.9503 0.6511 Y
0.3480 0.3480 0.4503 Tm
0.4503 0.4503 0.1522 Tm
0.5497 0.5497 0.8478 Tm
0.6520 0.6520 0.5497 Tm
0.2492 0.2492 0.7487 Sc
0.7508 0.7508 0.2513 Sc
```

Properties
energy of formation from the pure elements	47	meV per atom
distance to the lowest polymorph of the same formula	0.000	eV per formula unit
Fermi-level density of states	15.94	states/eV/cell
M_tot	0.000	μB/atom



VASP calculation (PBE) on an optimized crystal structure of YTm7Sc4.

Structure (POSCAR):
```
YTm7Sc4
1.0
5.9739 0.0000 0.0000
-0.0003 6.8968 0.0000
-1.9995 -0.0043 8.2331
Y Tm Sc
1 7 4
Direct
0.0000 0.0000 0.0000 Y
0.0000 0.5000 0.0000 Tm
0.2242 0.9998 0.6630 Tm
0.2828 0.2560 0.3398 Tm
0.4974 0.7458 0.0040 Tm
0.5026 0.2542 0.9960 Tm
0.7172 0.7440 0.6602 Tm
0.7758 0.0002 0.3370 Tm
0.2169 0.4998 0.6609 Sc
0.2765 0.7456 0.3386 Sc
0.7235 0.2544 0.6614 Sc
0.7831 0.5002 0.3391 Sc
```

Properties
energy of formation from the pure elements	21	meV per atom
distance to the lowest polymorph of the same formula	0.000	eV per formula unit
Fermi-level density of states	18.30	states/eV/cell
M_tot	0.000	μB/atom



VASP calculation (PBE) on an optimized crystal structure of Y4Tm3Sc2.

Structure (POSCAR):
```
Y4Tm3Sc2
1.0
6.5649 -6.6097 0.0000
6.5649 6.6097 0.0000
-0.5615 0.0000 6.2902
Y Tm Sc
8 6 4
Direct
0.0200 0.1717 0.0847 Y
0.1717 0.0200 0.5847 Y
0.2328 0.3482 0.4630 Y
0.3482 0.2328 0.9630 Y
0.6518 0.7672 0.0370 Y
0.7672 0.6518 0.5370 Y
0.8283 0.9800 0.4153 Y
0.9800 0.8283 0.9153 Y
0.1029 0.6786 0.3845 Tm
0.3214 0.8971 0.1155 Tm
0.4615 0.5385 0.2500 Tm
0.5385 0.4615 0.7500 Tm
0.6786 0.1029 0.8845 Tm
0.8971 0.3214 0.6155 Tm
0.1978 0.5565 0.8853 Sc
0.4435 0.8022 0.6147 Sc
0.5565 0.1978 0.3853 Sc
0.8022 0.4435 0.1147 Sc
```

Properties
energy of formation from the pure elements	147	meV per atom
distance to the lowest polymorph of the same formula	0.350	eV per formula unit
Fermi-level density of states	24.53	states/eV/cell
M_tot	0.000	μB/atom



VASP calculation (PBE) on an optimized crystal structure of Y8Tm4Sc.

Structure (POSCAR):
```
Y8Tm4Sc
1.0
3.6105 2.0845 9.0534
-3.6105 2.0845 9.0534
0.0000 -4.1690 9.0534
Y Tm Sc
8 4 1
Direct
0.2042 0.7461 0.7461 Y
0.2159 0.2159 0.2159 Y
0.2539 0.2539 0.7958 Y
0.2539 0.7958 0.2539 Y
0.7461 0.2042 0.7461 Y
0.7461 0.7461 0.2042 Y
0.7841 0.7841 0.7841 Y
0.7958 0.2539 0.2539 Y
0.0000 0.0000 0.0000 Tm
0.0000 0.5000 0.5000 Tm
0.5000 0.0000 0.5000 Tm
0.5000 0.5000 0.0000 Tm
0.5000 0.5000 0.5000 Sc
```

Properties
energy of formation from the pure elements	200	meV per atom
Fermi-level density of states	20.02	states/eV/cell
M_tot	0.000	μB/atom



Repeat the third record exactly.
VASP calculation (PBE) on an optimized crystal structure of YTm8Sc6.

Structure (POSCAR):
```
YTm8Sc6
1.0
4.1876 2.4177 7.0493
-4.1876 2.4177 7.0493
0.0000 -4.8355 7.0493
Y Tm Sc
1 8 6
Direct
0.0000 0.0000 0.0000 Y
0.1203 0.8111 0.6619 Tm
0.1889 0.3381 0.8797 Tm
0.3381 0.8797 0.1889 Tm
0.4168 0.4168 0.4168 Tm
0.5832 0.5832 0.5832 Tm
0.6619 0.1203 0.8111 Tm
0.8111 0.6619 0.1203 Tm
0.8797 0.1889 0.3381 Tm
0.0692 0.2810 0.5183 Sc
0.2810 0.5183 0.0692 Sc
0.4817 0.9308 0.7190 Sc
0.5183 0.0692 0.2810 Sc
0.7190 0.4817 0.9308 Sc
0.9308 0.7190 0.4817 Sc
```

Properties
energy of formation from the pure elements	184	meV per atom
distance to the lowest polymorph of the same formula	0.000	eV per formula unit
Fermi-level density of states	35.15	states/eV/cell
M_tot	0.148	μB/atom



Repeat the eighth record exactly.
VASP calculation (PBE) on an optimized crystal structure of YTm7Sc4.

Structure (POSCAR):
```
YTm7Sc4
1.0
5.9739 0.0000 0.0000
-0.0003 6.8968 0.0000
-1.9995 -0.0043 8.2331
Y Tm Sc
1 7 4
Direct
0.0000 0.0000 0.0000 Y
0.0000 0.5000 0.0000 Tm
0.2242 0.9998 0.6630 Tm
0.2828 0.2560 0.3398 Tm
0.4974 0.7458 0.0040 Tm
0.5026 0.2542 0.9960 Tm
0.7172 0.7440 0.6602 Tm
0.7758 0.0002 0.3370 Tm
0.2169 0.4998 0.6609 Sc
0.2765 0.7456 0.3386 Sc
0.7235 0.2544 0.6614 Sc
0.7831 0.5002 0.3391 Sc
```

Properties
energy of formation from the pure elements	21	meV per atom
distance to the lowest polymorph of the same formula	0.000	eV per formula unit
Fermi-level density of states	18.30	states/eV/cell
M_tot	0.000	μB/atom



Q: Which of these has the highest M_tot?
A: YTm2Sc6